Y3Co, relaxed, DFT PBEsol; total moment = 0.00 μB/cell; energy = -115.193 eV per cell; calculated volume = 98.3 Å³/f.u.; crystal system = orthorhombic; DFT formation energy = -0.15 eV/atom
1.0
6.846 0.000 0.000
0.000 9.309 0.000
0.000 0.000 6.170
Y Co
12 4
Direct
0.044 0.250 0.141 Y
0.174 0.068 0.677 Y
0.174 0.432 0.677 Y
0.326 0.568 0.177 Y
0.326 0.932 0.177 Y
0.456 0.750 0.641 Y
0.544 0.250 0.359 Y
0.674 0.068 0.823 Y
0.674 0.432 0.823 Y
0.826 0.568 0.323 Y
0.826 0.932 0.323 Y
0.956 0.750 0.859 Y
0.112 0.750 0.453 Co
0.388 0.250 0.953 Co
0.612 0.750 0.047 Co
0.888 0.250 0.547 Co


ZrTa3Te, relaxed, DFT PBEsol; total moment = 0.00 μB/cell; energy = -41.255 eV per cell; calculated volume = 116.8 Å³/f.u.; crystal system = cubic; uncorrected formation energy = 1.803 eV/atom
1.0
4.889 0.000 0.000
0.000 4.889 0.000
0.000 0.000 4.889
Zr Ta Te
1 3 1
Direct
0.000 0.000 0.000 Zr
0.000 0.000 0.500 Ta
0.000 0.500 0.000 Ta
0.500 0.000 0.000 Ta
0.500 0.500 0.500 Te


Ce2Fe17C, relaxed, DFT PBEsol; total moment = 29.03 μB/cell; energy = -174.876 eV per cell; calculated volume = 243.6 Å³/f.u.; crystal system = monoclinic; DFT formation energy = 0.02 eV/atom
1.0
4.736 -4.159 0.000
4.736 4.159 0.000
-1.013 0.000 6.184
Ce Fe C
2 17 1
Direct
0.166 0.166 0.359 Ce
0.834 0.834 0.641 Ce
0.000 0.500 0.000 Fe
0.156 0.156 0.849 Fe
0.159 0.655 0.344 Fe
0.212 0.502 0.714 Fe
0.217 0.783 0.000 Fe
0.345 0.841 0.656 Fe
0.403 0.403 0.096 Fe
0.498 0.788 0.286 Fe
0.500 0.000 0.000 Fe
0.500 0.500 0.500 Fe
0.502 0.212 0.714 Fe
0.597 0.597 0.904 Fe
0.655 0.159 0.344 Fe
0.783 0.217 0.000 Fe
0.788 0.498 0.286 Fe
0.841 0.345 0.656 Fe
0.844 0.844 0.151 Fe
0.000 0.000 0.000 C